A plane-wave DFT calculation with PBE-GGA was carried out for an optimized crystal structure of NbIn2Pd2.

Properties
**ΔH_f (0 K)**: -17 kJ per mole of atoms
**ΔE to the lowest computed polymorph**: 0.0000 eV/atom
**Magnetic moment**: 0.0 μB/f.u.

a = 7.8066 Å, b = 7.8066 Å, c = 3.0167 Å
α = 90.00°, β = 90.00°, γ = 90.00°
Last column: nearest neighbours and their distance in Å.
Atoms (fractional coordinates):
1 Nb 0.0000 0.0000 0.0000  2 Nb 3.02, 4 Pd 3.06, 8 In 3.27
2 Nb 0.5000 0.5000 0.0000  2 Nb 3.02, 4 Pd 3.06, 8 In 3.27
3 In 0.1679 0.3321 0.5000  6 Pd 2.69-2.79
4 In 0.3321 0.8321 0.5000  6 Pd 2.69-2.79
5 In 0.6679 0.1679 0.5000  6 Pd 2.69-2.79
6 In 0.8321 0.6679 0.5000  6 Pd 2.69-2.79
7 Pd 0.1306 0.6306 0.0000  6 In 2.69-2.79, 1 Pd 2.88
8 Pd 0.3694 0.1306 0.0000  6 In 2.69-2.79, 1 Pd 2.88
9 Pd 0.6306 0.8694 0.0000  6 In 2.69-2.79, 1 Pd 2.88
10 Pd 0.8694 0.3694 0.0000  6 In 2.69-2.79, 1 Pd 2.88


A plane-wave DFT calculation with PBE-GGA was carried out for an optimized crystal structure of NbIn2Pd.

Properties
**ΔH_f (0 K)**: 18 kJ per mole of atoms
**ΔE to the lowest computed polymorph**: 0.3872 eV/atom
**Magnetic moment**: 0.0 μB/f.u.

a = 10.3602 Å, b = 10.3602 Å, c = 10.3602 Å
α = 16.97°, β = 16.97°, γ = 16.97°
Last column: nearest neighbours and their distance in Å.
Atoms (fractional coordinates):
1 Nb 0.0000 0.0000 0.0000  2 In 2.89, 6 Nb 3.06
2 In 0.0943 0.0943 0.0943  3 Pd 2.83, 1 Nb 2.89, 6 In 3.06
3 In 0.9057 0.9057 0.9057  3 Pd 2.83, 1 Nb 2.89, 6 In 3.06
4 Pd 0.5000 0.5000 0.5000  6 In 2.83, 6 Pd 3.06


A plane-wave DFT calculation with PBE-GGA was carried out for an optimized crystal structure of NbInPdRh.

Properties
**ΔH_f (0 K)**: -31 kJ per mole of atoms
**Magnetic moment**: 0.0 μB/f.u.

a = 4.5811 Å, b = 4.5811 Å, c = 4.5811 Å
α = 60.00°, β = 60.00°, γ = 60.00°
Last column: nearest neighbours and their distance in Å.
Atoms (fractional coordinates):
1 Nb 0.0000 0.0000 0.0000  4 Rh 2.81, 4 Pd 2.81
2 In 0.5000 0.5000 0.5000  4 Pd 2.81, 4 Rh 2.81
3 Pd 0.2500 0.2500 0.2500  4 In 2.81, 4 Nb 2.81
4 Rh 0.7500 0.7500 0.7500  4 In 2.81, 4 Nb 2.81


A plane-wave DFT calculation with PBE-GGA was carried out for an optimized crystal structure of Nb2In2PdSe6.

Properties
**Raw formation energy**: -0.487 eV per atom
**Magnetic moment**: 0.0 μB/f.u.

a = 6.5890 Å, b = 6.5890 Å, c = 7.6535 Å
α = 96.84°, β = 96.84°, γ = 122.44°
Last column: nearest neighbours and their distance in Å.
Atoms (fractional coordinates):
1 Nb 0.1363 0.8637 0.0000  6 Se 2.56-2.75
2 Nb 0.8637 0.1363 0.0000  6 Se 2.56-2.75
3 In 0.3166 0.6834 0.5000  6 Se 2.98-3.13
4 In 0.6834 0.3166 0.5000  6 Se 2.98-3.13
5 Pd 0.5000 0.5000 0.0000  6 Se 2.66-2.77
6 Se 0.0924 0.4572 0.8054  2 Nb 2.61-2.75, 1 Pd 2.77
7 Se 0.2435 0.2435 0.2277  2 Nb 2.56, 1 Pd 2.66
8 Se 0.4572 0.0924 0.8054  2 Nb 2.61-2.75, 1 Pd 2.77
9 Se 0.5428 0.9076 0.1946  2 Nb 2.61-2.75, 1 Pd 2.77
10 Se 0.7565 0.7565 0.7723  2 Nb 2.56, 1 Pd 2.66
11 Se 0.9076 0.5428 0.1946  2 Nb 2.61-2.75, 1 Pd 2.77


A plane-wave DFT calculation with PBE-GGA was carried out for an optimized crystal structure of Ti5NbIn2Pd2.

Properties
**ΔH_f (0 K)**: -13 kJ per mole of atoms
**Magnetic moment**: 0.0 μB/f.u.

a = 10.6778 Å, b = 10.6778 Å, c = 3.2577 Å
α = 90.00°, β = 90.00°, γ = 90.00°
Last column: nearest neighbours and their distance in Å.
Atoms (fractional coordinates):
1 Ti 0.0000 0.5000 0.0000  4 Pd 2.55
2 Ti 0.0563 0.1934 0.0000  2 Pd 2.61, 2 Nb 2.70
3 Ti 0.1934 0.9437 0.0000  2 Pd 2.61, 2 Nb 2.70
4 Ti 0.3066 0.4437 0.0000  2 Pd 2.61, 2 Nb 2.70
5 Ti 0.4437 0.6934 0.0000  2 Pd 2.61, 2 Nb 2.70
6 Ti 0.5000 0.0000 0.0000  4 Pd 2.55
7 Ti 0.5563 0.3066 0.0000  2 Pd 2.61, 2 Nb 2.70
8 Ti 0.6934 0.5563 0.0000  2 Pd 2.61, 2 Nb 2.70
9 Ti 0.8066 0.0563 0.0000  2 Pd 2.61, 2 Nb 2.70
10 Ti 0.9437 0.8066 0.0000  2 Pd 2.61, 2 Nb 2.70
11 Nb 0.0000 0.0000 0.5000  8 Ti 2.70
12 Nb 0.5000 0.5000 0.5000  8 Ti 2.70
13 In 0.1761 0.6761 0.5000  1 Pd 2.93, 6 Ti 3.12-3.28, 2 In 3.26
14 In 0.3239 0.1761 0.5000  1 Pd 2.93, 6 Ti 3.12-3.28, 2 In 3.26
15 In 0.6761 0.8239 0.5000  1 Pd 2.93, 6 Ti 3.12-3.28, 2 In 3.26
16 In 0.8239 0.3239 0.5000  1 Pd 2.93, 6 Ti 3.12-3.28, 2 In 3.26
17 Pd 0.1298 0.3702 0.5000  6 Ti 2.55-2.61
18 Pd 0.3702 0.8702 0.5000  6 Ti 2.55-2.61
19 Pd 0.6298 0.1298 0.5000  6 Ti 2.55-2.61
20 Pd 0.8702 0.6298 0.5000  6 Ti 2.55-2.61


A plane-wave DFT calculation with PBE-GGA was carried out for an optimized crystal structure of NbIn3Pt12.

Properties
**ΔH_f (0 K)**: -47 kJ per mole of atoms
**Magnetic moment**: 0.0 μB/f.u.

a = 4.0387 Å, b = 4.0387 Å, c = 16.1289 Å
α = 90.00°, β = 90.00°, γ = 90.00°
Last column: nearest neighbours and their distance in Å.
Atoms (fractional coordinates):
1 Nb 0.0000 0.0000 0.0000  12 Pt 2.78-2.86
2 In 0.0000 0.0000 0.2513  12 Pt 2.83-2.94
3 In 0.0000 0.0000 0.5000  12 Pt 2.86
4 In 0.0000 0.0000 0.7487  12 Pt 2.83-2.94
5 Pt 0.0000 0.5000 0.1187  8 Pt 2.78-2.89, 2 Nb 2.78, 2 In 2.94
6 Pt 0.0000 0.5000 0.3746  4 In 2.83-2.86, 8 Pt 2.86-2.89
7 Pt 0.0000 0.5000 0.6254  4 In 2.83-2.86, 8 Pt 2.86-2.89
8 Pt 0.0000 0.5000 0.8813  2 Nb 2.78, 8 Pt 2.78-2.89, 2 In 2.94
9 Pt 0.5000 0.0000 0.1187  8 Pt 2.78-2.89, 2 Nb 2.78, 2 In 2.94
10 Pt 0.5000 0.0000 0.3746  4 In 2.83-2.86, 8 Pt 2.86-2.89
11 Pt 0.5000 0.0000 0.6254  4 In 2.83-2.86, 8 Pt 2.86-2.89
12 Pt 0.5000 0.0000 0.8813  2 Nb 2.78, 8 Pt 2.78-2.89, 2 In 2.94
13 Pt 0.5000 0.5000 0.0000  8 Pt 2.78, 4 Nb 2.86
14 Pt 0.5000 0.5000 0.2465  4 In 2.86, 8 Pt 2.89
15 Pt 0.5000 0.5000 0.5000  4 In 2.86, 8 Pt 2.86
16 Pt 0.5000 0.5000 0.7535  4 In 2.86, 8 Pt 2.89


Repeat the fourth record exactly.
A plane-wave DFT calculation with PBE-GGA was carried out for an optimized crystal structure of Nb2In2PdSe6.

Properties
**Raw formation energy**: -0.487 eV per atom
**Magnetic moment**: 0.0 μB/f.u.

a = 6.5890 Å, b = 6.5890 Å, c = 7.6535 Å
α = 96.84°, β = 96.84°, γ = 122.44°
Last column: nearest neighbours and their distance in Å.
Atoms (fractional coordinates):
1 Nb 0.1363 0.8637 0.0000  6 Se 2.56-2.75
2 Nb 0.8637 0.1363 0.0000  6 Se 2.56-2.75
3 In 0.3166 0.6834 0.5000  6 Se 2.98-3.13
4 In 0.6834 0.3166 0.5000  6 Se 2.98-3.13
5 Pd 0.5000 0.5000 0.0000  6 Se 2.66-2.77
6 Se 0.0924 0.4572 0.8054  2 Nb 2.61-2.75, 1 Pd 2.77
7 Se 0.2435 0.2435 0.2277  2 Nb 2.56, 1 Pd 2.66
8 Se 0.4572 0.0924 0.8054  2 Nb 2.61-2.75, 1 Pd 2.77
9 Se 0.5428 0.9076 0.1946  2 Nb 2.61-2.75, 1 Pd 2.77
10 Se 0.7565 0.7565 0.7723  2 Nb 2.56, 1 Pd 2.66
11 Se 0.9076 0.5428 0.1946  2 Nb 2.61-2.75, 1 Pd 2.77